(1)
Computed, not measured: an optimized crystal structure of NaZnSeO4 at the GGA-PBE level of DFT. Values from VASP.

Results
- Formation energy without anion corrections: -1.01 eV per atom
- N(E_F): 2.1 states/eV/cell
- Total moment: 0.1055 μB per atom

```
&SYSTEM
  ibrav = 0, nat = 7, ntyp = 4
/
ATOMIC_SPECIES
Na 22.99 Na.upf
Zn 65.41 Zn.upf
Se 78.96 Se.upf
O 16.00 O.upf
CELL_PARAMETERS angstrom
-2.610 2.610 4.148
2.610 -2.610 4.148
2.610 2.610 -4.148
ATOMIC_POSITIONS angstrom
Na 0.000 0.000 0.000
Zn 2.610 0.000 2.074
Se 0.000 0.000 4.148
O 1.229 -0.891 3.174
O 1.720 1.381 0.974
O 1.381 3.501 -0.974
O 0.891 1.229 5.122
```

(2)
Computed, not measured: an optimized crystal structure of NaZnSe2O6 at the GGA-PBE level of DFT. Values from VASP.

Results
- Formation energy without anion corrections: -0.96 eV per atom
- N(E_F): 3.9 states/eV/cell
- Total moment: 0.0000 μB per atom

```
&SYSTEM
  ibrav = 0, nat = 10, ntyp = 4
/
ATOMIC_SPECIES
Na 22.99 Na.upf
Zn 65.41 Zn.upf
Se 78.96 Se.upf
O 16.00 O.upf
CELL_PARAMETERS angstrom
2.666 1.539 5.510
-2.666 1.539 5.510
0.000 -3.078 5.510
ATOMIC_POSITIONS angstrom
Na 0.000 0.000 0.000
Zn 0.000 0.000 8.265
Se 0.000 0.000 4.565
Se 0.000 0.000 11.964
O -1.749 -0.211 7.056
O -0.692 -1.620 9.474
O 1.057 -1.410 7.056
O -1.057 1.410 9.474
O 0.692 1.620 7.056
O 1.749 0.211 9.474
```

(3)
Computed, not measured: an optimized crystal structure of Na2ZnSe2O6 at the GGA-PBE level of DFT. Values from VASP.

Results
- Formation energy without anion corrections: -1.19 eV per atom
- N(E_F): 0.0 states/eV/cell
- Total moment: 0.0000 μB per atom

```
&SYSTEM
  ibrav = 0, nat = 11, ntyp = 4
/
ATOMIC_SPECIES
Na 22.99 Na.upf
Zn 65.41 Zn.upf
Se 78.96 Se.upf
O 16.00 O.upf
CELL_PARAMETERS angstrom
4.037 -2.931 0.000
4.037 2.931 0.000
-2.323 0.000 6.705
ATOMIC_POSITIONS angstrom
Na 1.208 0.000 1.239
Na 4.543 0.000 5.466
Zn -1.162 0.000 3.352
Se 1.478 0.000 5.103
Se 4.273 0.000 1.602
O 3.205 1.372 1.600
O 0.787 0.000 3.524
O 2.546 1.372 5.105
O 3.205 -1.372 1.600
O 4.963 0.000 3.181
O 2.546 -1.372 5.105
```

(4)
Computed, not measured: an optimized crystal structure of NaZrSe2O8 at the GGA-PBE level of DFT. Values from VASP.

Results
- Formation energy without anion corrections: -1.36 eV per atom
- N(E_F): 2.8 states/eV/cell
- Total moment: 0.0000 μB per atom

```
&SYSTEM
  ibrav = 0, nat = 12, ntyp = 4
/
ATOMIC_SPECIES
Na 22.99 Na.upf
Zr 91.22 Zr.upf
Se 78.96 Se.upf
O 16.00 O.upf
CELL_PARAMETERS angstrom
-3.533 3.533 3.144
3.533 -3.533 3.144
3.533 3.533 -3.144
ATOMIC_POSITIONS angstrom
Na 0.000 0.000 0.000
Zr 3.533 0.000 1.572
Se 0.000 0.000 3.144
Se 0.000 3.533 1.572
O 2.108 3.533 -1.090
O 1.425 0.000 2.053
O 0.000 2.280 0.456
O 3.533 2.108 1.090
O 0.000 4.787 0.456
O 0.000 1.425 4.234
O -1.254 3.533 2.687
O 1.254 3.533 2.687
```

(5)
Computed, not measured: an optimized crystal structure of Na2ZrSeO6 at the GGA-PBE level of DFT. Values from VASP.

Results
- Formation energy without anion corrections: -1.72 eV per atom
- Total moment: 0.0000 μB per atom

```
&SYSTEM
  ibrav = 0, nat = 10, ntyp = 4
/
ATOMIC_SPECIES
Na 22.99 Na.upf
Zr 91.22 Zr.upf
Se 78.96 Se.upf
O 16.00 O.upf
CELL_PARAMETERS angstrom
5.358 0.000 0.000
0.000 5.358 0.000
0.000 0.000 4.523
ATOMIC_POSITIONS angstrom
Na 0.000 2.679 0.000
Na 2.679 0.000 0.000
Zr 0.000 0.000 2.466
Se 2.679 2.679 2.427
O 0.000 0.000 0.540
O 1.460 1.460 2.881
O 1.460 3.898 2.881
O 2.679 2.679 0.762
O 3.898 1.460 2.881
O 3.898 3.898 2.881
```

(6)
Computed, not measured: an optimized crystal structure of NaSiO3 at the GGA-PBE level of DFT. Values from VASP.

Results
- Formation energy without anion corrections: -1.93 eV per atom
- N(E_F): 2.0 states/eV/cell
- Total moment: 0.0000 μB per atom

```
&SYSTEM
  ibrav = 0, nat = 5, ntyp = 3
/
ATOMIC_SPECIES
Na 22.99 Na.upf
Si 28.09 Si.upf
O 16.00 O.upf
CELL_PARAMETERS angstrom
3.521 0.000 0.000
0.000 3.521 0.000
0.000 0.000 3.521
ATOMIC_POSITIONS angstrom
Na 0.000 0.000 0.000
Si 1.761 1.761 1.761
O 0.000 1.761 1.761
O 1.761 0.000 1.761
O 1.761 1.761 0.000
```